[1]
Below is crystalline Er5NiBi at its relaxed geometry, with properties calculated at the GGA-PBE level.

Unit cell a=11.1207 b=6.6715 c=11.2196 alpha=90.00 beta=108.20 gamma=90.00
Space group C2/c (No. 15)
Symmetry-distinct sites (fractional):
1 Er 0.0000 0.0411 0.2500 x4
2 Er 0.1207 0.3294 0.0408 x8
3 Er 0.2151 0.1736 0.6365 x8
4 Ni 0.0000 0.0000 0.0000 x4
5 Bi 0.0000 0.4569 0.7500 x4

Properties
E_form, eV/atom: -0.2084
DOS at the Fermi energy, states/eV/f.u.: 7.9
M_tot, μB/f.u.: 0.000
Raw total energy, eV per cell: -135.74

---

[2]
Below is crystalline Tb6SmErTm2 at its relaxed geometry, with properties calculated at the GGA-PBE level.

Unit cell a=9.0843 b=14.9787 c=9.4883 alpha=90.00 beta=96.89 gamma=90.00
Space group C2/c (No. 15)
Symmetry-distinct sites (fractional):
1 Tb 0.0625 0.1836 0.4444 x8
2 Tb 0.0992 0.3912 0.6186 x8
3 Tb 0.2106 0.2255 0.8166 x8
4 Sm 0.0000 0.0265 0.7500 x4
5 Er 0.0000 0.4098 0.2500 x4
6 Tm 0.2479 0.4481 0.9535 x8

Properties
E_form, eV/atom: 0.1201
DOS at the Fermi energy, states/eV/f.u.: 14.4
M_tot, μB/f.u.: 0.000
Raw total energy, eV per cell: -179.22